# PBE-GGA ScCuTc2, relaxed
# space group	C2/m (12)
# E above lowest polymorph	177	meV per atom
# ΔH_f (0 K)	0.083	eV per atom
data_ScCuTc2
_chemical_formula_sum 'Sc1 Cu1 Tc2'
_cell_length_a 5.242
_cell_length_b 5.242
_cell_length_c 2.730
_cell_angle_alpha 100.92
_cell_angle_beta 100.92
_cell_angle_gamma 118.91
_symmetry_space_group_name_H-M 'P 1'
_symmetry_Int_Tables_number 1
loop_
_symmetry_equiv_pos_as_xyz
'x,y,z'
loop_
_atom_site_label
_atom_site_type_symbol
_atom_site_fract_x
_atom_site_fract_y
_atom_site_fract_z
_atom_site_occupancy
Sc1 Sc 0.000 0.000 0.000 1
Cu1 Cu 0.500 0.500 0.000 1
Tc1 Tc 0.000 0.500 0.500 1
Tc2 Tc 0.500 0.000 0.500 1

# PBE-GGA ScCuTc2, relaxed
# space group	P2/m (10)
# E above lowest polymorph	74	meV per atom
# ΔH_f (0 K)	-0.020	eV per atom
data_ScCuTc2
_chemical_formula_sum 'Sc1 Cu1 Tc2'
_cell_length_a 4.234
_cell_length_b 3.247
_cell_length_c 4.435
_cell_angle_alpha 90.00
_cell_angle_beta 90.07
_cell_angle_gamma 90.00
_symmetry_space_group_name_H-M 'P 1'
_symmetry_Int_Tables_number 1
loop_
_symmetry_equiv_pos_as_xyz
'x,y,z'
loop_
_atom_site_label
_atom_site_type_symbol
_atom_site_fract_x
_atom_site_fract_y
_atom_site_fract_z
_atom_site_occupancy
Sc1 Sc 0.000 0.000 0.000 1
Cu1 Cu 0.500 0.500 0.000 1
Tc1 Tc 0.000 0.500 0.500 1
Tc2 Tc 0.500 0.000 0.500 1

# PBE-GGA Sc2Cu2Tc, relaxed
# space group	P4/mbm (127)
# ΔH_f (0 K)	-0.039	eV per atom
data_Sc2Cu2Tc
_chemical_formula_sum 'Sc4 Cu4 Tc2'
_cell_length_a 6.727
_cell_length_b 6.727
_cell_length_c 3.708
_cell_angle_alpha 90.00
_cell_angle_beta 90.00
_cell_angle_gamma 90.00
_symmetry_space_group_name_H-M 'P 1'
_symmetry_Int_Tables_number 1
loop_
_symmetry_equiv_pos_as_xyz
'x,y,z'
loop_
_atom_site_label
_atom_site_type_symbol
_atom_site_fract_x
_atom_site_fract_y
_atom_site_fract_z
_atom_site_occupancy
Sc1 Sc 0.184 0.316 0.000 1
Sc2 Sc 0.316 0.816 0.000 1
Sc3 Sc 0.684 0.184 0.000 1
Sc4 Sc 0.816 0.684 0.000 1
Cu1 Cu 0.123 0.623 0.500 1
Cu2 Cu 0.377 0.123 0.500 1
Cu3 Cu 0.623 0.877 0.500 1
Cu4 Cu 0.877 0.377 0.500 1
Tc1 Tc 0.000 0.000 0.500 1
Tc2 Tc 0.500 0.500 0.500 1

# PBE-GGA Sc2Cu2Tc, relaxed
# space group	I4/mmm (139)
# ΔH_f (0 K)	-0.038	eV per atom
data_Sc2Cu2Tc
_chemical_formula_sum 'Sc2 Cu2 Tc1'
_cell_length_a 8.230
_cell_length_b 8.230
_cell_length_c 8.230
_cell_angle_alpha 156.73
_cell_angle_beta 156.73
_cell_angle_gamma 33.15
_symmetry_space_group_name_H-M 'P 1'
_symmetry_Int_Tables_number 1
loop_
_symmetry_equiv_pos_as_xyz
'x,y,z'
loop_
_atom_site_label
_atom_site_type_symbol
_atom_site_fract_x
_atom_site_fract_y
_atom_site_fract_z
_atom_site_occupancy
Sc1 Sc 0.098 0.098 0.000 1
Sc2 Sc 0.902 0.902 0.000 1
Cu1 Cu 0.250 0.750 0.500 1
Cu2 Cu 0.750 0.250 0.500 1
Tc1 Tc 0.500 0.500 0.000 1

# PBE-GGA Sc4CuTc, relaxed
# space group	F-43m (216)
# E above lowest polymorph	768	meV per atom
# ΔH_f (0 K)	0.602	eV per atom
data_Sc4CuTc
_chemical_formula_sum 'Sc4 Cu1 Tc1'
_cell_length_a 5.495
_cell_length_b 5.495
_cell_length_c 5.495
_cell_angle_alpha 60.00
_cell_angle_beta 60.00
_cell_angle_gamma 60.00
_symmetry_space_group_name_H-M 'P 1'
_symmetry_Int_Tables_number 1
loop_
_symmetry_equiv_pos_as_xyz
'x,y,z'
loop_
_atom_site_label
_atom_site_type_symbol
_atom_site_fract_x
_atom_site_fract_y
_atom_site_fract_z
_atom_site_occupancy
Sc1 Sc 0.124 0.124 0.124 1
Sc2 Sc 0.124 0.124 0.629 1
Sc3 Sc 0.124 0.629 0.124 1
Sc4 Sc 0.629 0.124 0.124 1
Cu1 Cu 0.500 0.500 0.500 1
Tc1 Tc 0.750 0.750 0.750 1

# PBE-GGA ScCuTc2, relaxed
# space group	Pmmm (47)
# E above lowest polymorph	300	meV per atom
# ΔH_f (0 K)	0.206	eV per atom
data_ScCuTc2
_chemical_formula_sum 'Sc1 Cu1 Tc2'
_cell_length_a 2.605
_cell_length_b 4.136
_cell_length_c 5.773
_cell_angle_alpha 90.00
_cell_angle_beta 90.00
_cell_angle_gamma 90.00
_symmetry_space_group_name_H-M 'P 1'
_symmetry_Int_Tables_number 1
loop_
_symmetry_equiv_pos_as_xyz
'x,y,z'
loop_
_atom_site_label
_atom_site_type_symbol
_atom_site_fract_x
_atom_site_fract_y
_atom_site_fract_z
_atom_site_occupancy
Sc1 Sc 0.000 0.000 0.000 1
Cu1 Cu 0.000 0.000 0.500 1
Tc1 Tc 0.500 0.500 0.281 1
Tc2 Tc 0.500 0.500 0.719 1

How do the records compare in DOS at the Fermi energy? In the order shown, they have 3.4; 2.9; 14.5; 3.4; 4.6; 2.7 states/eV/cell.